No. 1
First-principles (PBE) data for a relaxed structure of La2Ge3Pt5, as listed in the Alexandria database.

Computed properties:
Calculated volume in Å³ per cell: 815
Energy relative to the elements in eV/atom: -0.80
Mass density in kg/m³: 11992
Crystal system: orthorhombic
D(E_F) in states/eV per cell: 17.2

Cell lengths 4.1613, 25.6628, 7.6302 Å; angles 90.00, 90.00, 90.00 degrees
Closest atoms and distances in Å follow each position.
Space group Cmc2_1 (No. 36)
Inequivalent atoms, fractional coordinates:
La 0.0000 0.0144 0.0000 (multiplicity 4)  5 Pt 2.93-2.97, 3 Ge 3.13-3.16
La 0.0000 0.3206 0.0187 (multiplicity 4)  5 Pt 2.94-3.15, 2 Ge 3.23
Ge 0.0000 0.1081 0.7368 (multiplicity 4)  4 Pt 2.55-2.58
Ge 0.0000 0.2912 0.5774 (multiplicity 4)  6 Pt 2.54-2.80
Ge 0.0000 0.4260 0.7388 (multiplicity 4)  4 Pt 2.51-2.65
Pt 0.0000 0.0974 0.4043 (multiplicity 4)  3 Ge 2.51-2.55
Pt 0.0000 0.1992 0.8752 (multiplicity 4)  3 Ge 2.57-2.60, 2 Pt 2.83
Pt 0.0000 0.2330 0.2676 (multiplicity 4)  3 Ge 2.61-2.80, 2 Pt 2.83
Pt 0.0000 0.3800 0.4318 (multiplicity 4)  4 Ge 2.54-2.62, 1 Pt 2.80
Pt 0.0000 0.4707 0.2275 (multiplicity 4)  3 Ge 2.65-2.90, 1 Pt 2.80, 4 La 2.93-2.97

=====

No. 2
First-principles (PBE) data for a relaxed structure of CsRbMg14O15, as listed in the Alexandria database.

Computed properties:
Calculated volume in Å³ per cell: 384
Mass density in kg/m³: 3454
E_form (uncorrected) in eV/f.u.: -69.2
Crystal system: orthorhombic
D(E_F) in states/eV per cell: 0.0

Cell lengths 4.1547, 8.6102, 10.7326 Å; angles 90.00, 90.00, 90.00 degrees
Closest atoms and distances in Å follow each position.
Space group Pmm2 (No. 25)
Inequivalent atoms, fractional coordinates:
Cs 0.0000 0.0000 0.0000 (multiplicity 1)  3 O 2.70-2.73
Rb 0.0000 0.5000 0.4605 (multiplicity 1)  4 O 2.48-2.54, 2 Mg 2.76
Mg 0.0000 0.0000 0.5515 (multiplicity 1)  6 O 2.03-2.08
Mg 0.0000 0.2211 0.3331 (multiplicity 2)  4 O 1.92-2.15
Mg 0.0000 0.2564 0.7469 (multiplicity 2)  5 O 2.09-2.32
Mg 0.0000 0.5000 0.0408 (multiplicity 1)  5 O 2.12-2.15
Mg 0.5000 0.0000 0.3500 (multiplicity 1)  4 O 2.03-2.08
Mg 0.5000 0.0000 0.7365 (multiplicity 1)  5 O 2.07-2.11
Mg 0.5000 0.2385 0.1416 (multiplicity 2)  4 O 2.06-2.16
Mg 0.5000 0.2647 0.5630 (multiplicity 2)  5 O 2.06-2.29
Mg 0.5000 0.5000 0.2623 (multiplicity 1)  3 O 1.95-2.03
Mg 0.5000 0.5000 0.7846 (multiplicity 1)  5 O 2.01-2.23
O 0.0000 0.0000 0.3580 (multiplicity 1)  5 Mg 1.92-2.08
O 0.0000 0.0000 0.7452 (multiplicity 1)  5 Mg 2.08-2.21
O 0.0000 0.2356 0.5513 (multiplicity 2)  4 Mg 2.03-2.11
O 0.0000 0.2950 0.1534 (multiplicity 2)  4 Mg 2.03-2.14
O 0.0000 0.5000 0.8404 (multiplicity 1)  5 Mg 2.15-2.32
O 0.5000 0.0000 0.1611 (multiplicity 1)  3 Mg 2.03-2.06
O 0.5000 0.0000 0.5436 (multiplicity 1)  6 Mg 2.07-2.29
O 0.5000 0.2421 0.7658 (multiplicity 2)  5 Mg 2.09-2.23
O 0.5000 0.2847 0.3390 (multiplicity 2)  4 Mg 2.03-2.16
O 0.5000 0.5000 0.0808 (multiplicity 1)  3 Mg 1.95-2.12
O 0.5000 0.5000 0.5970 (multiplicity 1)  3 Mg 2.01-2.06

=====

No. 3
First-principles (PBE) data for a relaxed structure of FeSi2Cl, as listed in the Alexandria database.

Computed properties:
Calculated volume in Å³ per cell: 61
Mass density in kg/m³: 4007
E_form (uncorrected) in eV/f.u.: 1.9
Crystal system: orthorhombic
D(E_F) in states/eV per cell: 2.1

Cell lengths 2.7858, 4.3243, 5.0736 Å; angles 90.00, 90.00, 90.00 degrees
Closest atoms and distances in Å follow each position.
Space group Pmmm (No. 47)
Inequivalent atoms, fractional coordinates:
Fe 0.0000 0.0000 0.0000 (multiplicity 1)  2 Cl 2.54, 2 Fe 2.79
Si 0.5000 0.5000 0.2386 (multiplicity 2)  2 Si 2.42-2.65
Cl 0.0000 0.0000 0.5000 (multiplicity 1)  2 Fe 2.54, 2 Cl 2.79

=====

No. 4
First-principles (PBE) data for a relaxed structure of Er2CdRh, as listed in the Alexandria database.

Computed properties:
Calculated volume in Å³ per cell: 355
Energy relative to the elements in eV/atom: -0.56
Mass density in kg/m³: 10277
Crystal system: cubic
D(E_F) in states/eV per cell: 9.8

Cell lengths 7.0832, 7.0832, 7.0832 Å; angles 90.00, 90.00, 90.00 degrees
Closest atoms and distances in Å follow each position.
Space group Fm-3m (No. 225)
Inequivalent atoms, fractional coordinates:
Er 0.2500 0.2500 0.2500 (multiplicity 8)  4 Cd 3.07, 4 Rh 3.07
Cd 0.0000 0.0000 0.0000 (multiplicity 4)  8 Er 3.07
Rh 0.0000 0.0000 0.5000 (multiplicity 4)  8 Er 3.07

=====

No. 5
First-principles (PBE) data for a relaxed structure of LaGaNF2, as listed in the Alexandria database.

Computed properties:
Calculated volume in Å³ per cell: 69
Mass density in kg/m³: 6249
E_form (uncorrected) in eV/f.u.: -8.7
Crystal system: tetragonal
D(E_F) in states/eV per cell: 2.7

Cell lengths 4.3114, 4.3114, 3.7256 Å; angles 90.00, 90.00, 90.00 degrees
Closest atoms and distances in Å follow each position.
Space group P4/mmm (No. 123)
Inequivalent atoms, fractional coordinates:
La 0.0000 0.0000 0.0000 (multiplicity 1)  8 F 2.85, 4 N 3.05
Ga 0.5000 0.5000 0.5000 (multiplicity 1)  2 N 1.86
N 0.5000 0.5000 0.0000 (multiplicity 1)  2 Ga 1.86
F 0.0000 0.5000 0.5000 (multiplicity 2)  2 Ga 2.16

=====

No. 6
First-principles (PBE) data for a relaxed structure of InBr2N, as listed in the Alexandria database.

Computed properties:
Calculated volume in Å³ per cell: 410
Mass density in kg/m³: 3507
E_form (uncorrected) in eV/f.u.: 4.7
Crystal system: trigonal
D(E_F) in states/eV per cell: 3.6

Cell lengths 4.1848, 4.1848, 27.0363 Å; angles 90.00, 90.00, 120.00 degrees
Closest atoms and distances in Å follow each position.
Space group R-3m (No. 166, hexagonal axes)
Inequivalent atoms, fractional coordinates:
In 0.0000 0.0000 0.0000 (multiplicity 3)  2 Br 2.54
Br 0.0000 0.0000 0.0940 (multiplicity 6)  1 In 2.54
N 0.0000 0.0000 0.5000 (multiplicity 3)  6 Br 3.11

=====

No. 7
First-principles (PBE) data for a relaxed structure of CdSiN2, as listed in the Alexandria database.

Computed properties:
Calculated volume in Å³ per cell: 784
Mass density in kg/m³: 5708
E_form (uncorrected) in eV/f.u.: -2.0
Crystal system: orthorhombic

Cell lengths 5.3145, 10.6456, 13.8643 Å; angles 90.00, 90.00, 90.00 degrees
Closest atoms and distances in Å follow each position.
Space group Pbca (No. 61)
Inequivalent atoms, fractional coordinates:
Cd 0.2087 0.2442 0.1880 (multiplicity 8)  3 N 2.26-2.35
Cd 0.2268 0.0223 0.0614 (multiplicity 8)  4 N 2.25-2.41
Si 0.1902 0.5221 0.8126 (multiplicity 8)  4 N 1.75-1.77
Si 0.2127 0.2227 0.4383 (multiplicity 8)  4 N 1.75-1.76
N 0.1135 0.7325 0.0396 (multiplicity 8)  2 Si 1.75-1.76
N 0.1238 0.5166 0.2129 (multiplicity 8)  2 Si 1.75
N 0.2045 0.6851 0.8377 (multiplicity 8)  2 Si 1.76-1.77
N 0.2112 0.5646 0.4136 (multiplicity 8)  2 Si 1.76

=====

No. 8
First-principles (PBE) data for a relaxed structure of Pr6P2HSe3, as listed in the Alexandria database.

Computed properties:
Calculated volume in Å³ per cell: 624
Mass density in kg/m³: 6094
Final energy in eV/atom: -5.939
Crystal system: monoclinic
D(E_F) in states/eV per cell: 12.2

Cell lengths 18.2743, 4.1960, 8.4009 Å; angles 90.00, 104.34, 90.00 degrees
Closest atoms and distances in Å follow each position.
Space group C2/m (No. 12)
Inequivalent atoms, fractional coordinates:
Pr 0.0029 0.0000 0.2483 (multiplicity 4)  1 P 2.86, 2 H 2.95, 3 Se 2.99-3.01
Pr 0.1654 0.5000 0.0948 (multiplicity 4)  2 P 2.88, 1 H 2.93, 3 Se 2.97-3.04
Pr 0.1716 0.5000 0.5734 (multiplicity 4)  3 P 2.91, 3 Se 3.04-3.05
P 0.1642 0.0000 0.3298 (multiplicity 4)  6 Pr 2.86-2.91
H 0.0000 0.5000 0.0000 (multiplicity 2)  6 Pr 2.93-2.95
Se 0.0000 0.5000 0.5000 (multiplicity 2)  6 Pr 2.99-3.04
Se 0.1672 0.0000 0.8341 (multiplicity 4)  6 Pr 2.97-3.05